No. 1
Computed, not measured: TiCo3H after structural relaxation at the GGA-PBE level of DFT.

Output
Final energy (eV per atom): -6.76

```
10
Lattice="5.1077 0.0008 0.0012 2.4637 4.4769 0.0029 0.1370 -2.9371 4.1766" Properties=species:S:1:pos:R:3 pbc="T T T"
Co 2.5969 2.0475 2.1151
Co 5.0664 3.5071 0.0408
H 3.8317 2.7771 1.0778
Co 1.2964 1.2777 0.0255
Co 3.9031 -0.1999 2.1276
H 2.6682 -0.9295 3.1648
Ti 5.2378 1.8829 2.1227
Ti 2.4255 3.6718 0.0335
Co 3.8323 1.2913 0.0329
Co 1.3673 -0.2134 2.1202
```

***

No. 2
Computed, not measured: SrTiAs after structural relaxation at the GGA-PBE level of DFT.

Output
Final energy (eV per atom): -5.57

```
6
Lattice="4.0544 0.0000 0.0000 0.0000 4.0544 0.0000 0.0000 0.0000 9.6727" Properties=species:S:1:pos:R:3 pbc="T T T"
Ti 0.0000 0.0000 4.8363
As 2.0272 0.0000 6.5296
As 0.0000 2.0272 3.1430
Sr 2.0272 0.0000 1.7822
Sr 0.0000 2.0272 7.8905
Ti 2.0272 2.0272 4.8363
```

***

Short version: total magnetic moment = 0.00; 0.00 Bohr magnetons per cell, in the order given.
Short version: density = 7.85; 4.39 g/cm³, in the order given.